No. 1
Ba2AcP2N6 | GGA-PBE | optimized geometry

Calculated values
ΔE_f (raw) = -0.80 eV/atom
Density = 5206 kg/m3
Total DFT energy (no corrections) = -232.42 eV/cell
N(E_F) = 14.6 states/eV per cell

Cell and atoms, written as CIF:
```
data_Ba2AcP2N6
_chemical_formula_sum 'Ba6 Ac3 P6 N18'
_cell_length_a 5.9707
_cell_length_b 5.9707
_cell_length_c 20.0733
_cell_angle_alpha 90.00
_cell_angle_beta 90.00
_cell_angle_gamma 120.00
_space_group_name_H-M_alt 'R -3 m'
_space_group_IT_number 166
_space_group_name_Hall '-R 3 2"'
loop_
_atom_site_label
_atom_site_fract_x
_atom_site_fract_y
_atom_site_fract_z
Ba1 0.0000 0.0000 0.2039
Ac1 0.0000 0.0000 0.0000
P1 0.0000 0.0000 0.4222
N1 0.0271 0.5136 0.2442
```

No. 2
BaAcPaN3 | GGA-PBE | optimized geometry

Calculated values
ΔE_f (raw) = -1.15 eV/atom
Density = 8657 kg/m3
Total DFT energy (no corrections) = -94.80 eV/cell
N(E_F) = 4.2 states/eV per cell

Cell and atoms, written as CIF:
```
data_BaAcPaN3
_chemical_formula_sum 'Ba2 Ac2 Pa2 N6'
_cell_length_a 6.5951
_cell_length_b 3.9382
_cell_length_c 9.6859
_cell_angle_alpha 90.00
_cell_angle_beta 103.61
_cell_angle_gamma 90.00
_space_group_name_H-M_alt 'P 1 21/m 1'
_space_group_IT_number 11
_space_group_name_Hall '-P 2yb'
loop_
_atom_site_label
_atom_site_fract_x
_atom_site_fract_y
_atom_site_fract_z
Ba1 0.1433 0.2500 0.1894
Ac1 0.2647 0.7500 0.5377
Pa1 0.3717 0.2500 0.8482
N1 0.0806 0.2500 0.6792
N2 0.3285 0.7500 0.9715
N3 0.4672 0.7500 0.3323
```

No. 3
BaAc2PaN4 | GGA-PBE | optimized geometry

Calculated values
ΔE_f (raw) = -1.07 eV/atom
Density = 9181 kg/m3
Total DFT energy (no corrections) = -245.87 eV/cell
N(E_F) = 11.6 states/eV per cell

Cell and atoms, written as CIF:
```
data_BaAc2PaN4
_chemical_formula_sum 'Ba4 Ac8 Pa4 N16'
_cell_length_a 7.5492
_cell_length_b 7.5880
_cell_length_c 11.0941
_cell_angle_alpha 90.00
_cell_angle_beta 90.00
_cell_angle_gamma 90.00
_space_group_name_H-M_alt 'I m m a'
_space_group_IT_number 74
_space_group_name_Hall '-I 2b 2'
loop_
_atom_site_label
_atom_site_fract_x
_atom_site_fract_y
_atom_site_fract_z
Ba1 0.2500 0.2500 0.2500
Ac1 0.0000 0.0000 0.0000
Ac2 0.2500 0.2500 0.7500
Pa1 0.0000 0.0000 0.5000
N1 0.0000 0.0150 0.6974
N2 0.2276 0.2500 0.5074
```

No. 4
BaAcPaN4 | GGA-PBE | optimized geometry

Calculated values
ΔE_f (raw) = -0.91 eV/atom
Density = 8283 kg/m3
Total DFT energy (no corrections) = -220.67 eV/cell
N(E_F) = 19.2 states/eV per cell

Cell and atoms, written as CIF:
```
data_BaAcPaN4
_chemical_formula_sum 'Ba4 Ac4 Pa4 N16'
_cell_length_a 6.2257
_cell_length_b 13.4671
_cell_length_c 6.2303
_cell_angle_alpha 90.00
_cell_angle_beta 90.00
_cell_angle_gamma 90.00
_space_group_name_H-M_alt 'C m c m'
_space_group_IT_number 63
_space_group_name_Hall '-C 2c 2'
loop_
_atom_site_label
_atom_site_fract_x
_atom_site_fract_y
_atom_site_fract_z
Ba1 0.0000 0.1012 0.2500
Ac1 0.0000 0.3939 0.2500
Pa1 0.0000 0.2523 0.7500
N1 0.0000 0.0955 0.7500
N2 0.0000 0.4192 0.7500
N3 0.2500 0.2500 0.0000
```

No. 5
BaAc3Pa2N6 | GGA-PBE | optimized geometry

Calculated values
ΔE_f (raw) = -1.22 eV/atom
Density = 9819 kg/m3
Total DFT energy (no corrections) = -195.77 eV/cell
N(E_F) = 9.9 states/eV per cell

Cell and atoms, written as CIF:
```
data_BaAc3Pa2N6
_chemical_formula_sum 'Ba2 Ac6 Pa4 N12'
_cell_length_a 16.7615
_cell_length_b 3.7298
_cell_length_c 7.5787
_cell_angle_alpha 90.00
_cell_angle_beta 103.08
_cell_angle_gamma 90.00
_space_group_name_H-M_alt 'C 1 2/m 1'
_space_group_IT_number 12
_space_group_name_Hall '-C 2y'
loop_
_atom_site_label
_atom_site_fract_x
_atom_site_fract_y
_atom_site_fract_z
Ba1 0.0000 0.0000 0.0000
Ac1 0.0000 0.0000 0.5000
Ac2 0.1698 0.5000 0.8391
Pa1 0.1717 0.5000 0.3371
N1 0.0399 0.5000 0.2944
N2 0.1765 0.0000 0.1352
N3 0.1826 0.0000 0.5559
```

No. 6
Ba2AcPaN4 | GGA-PBE | optimized geometry

Calculated values
ΔE_f (raw) = -1.03 eV/atom
Density = 8032 kg/m3
Total DFT energy (no corrections) = -59.00 eV/cell
N(E_F) = 1.4 states/eV per cell

Cell and atoms, written as CIF:
```
data_Ba2AcPaN4
_chemical_formula_sum 'Ba2 Ac1 Pa1 N4'
_cell_length_a 6.6341
_cell_length_b 3.8165
_cell_length_c 6.8457
_cell_angle_alpha 90.00
_cell_angle_beta 109.83
_cell_angle_gamma 90.00
_space_group_name_H-M_alt 'P 1 2/m 1'
_space_group_IT_number 10
_space_group_name_Hall '-P 2y'
loop_
_atom_site_label
_atom_site_fract_x
_atom_site_fract_y
_atom_site_fract_z
Ba1 0.0000 0.0000 0.0000
Ba2 0.5000 0.5000 0.0000
Ac1 0.0000 0.5000 0.5000
Pa1 0.5000 0.0000 0.5000
N1 0.2808 0.0000 0.6874
N2 0.2865 0.5000 0.3030
```

No. 7
BaAcPa4N8 | GGA-PBE | optimized geometry

Calculated values
ΔE_f (raw) = -1.39 eV/atom
Density = 8672 kg/m3
Total DFT energy (no corrections) = -390.07 eV/cell
N(E_F) = 3.8 states/eV per cell

Cell and atoms, written as CIF:
```
data_BaAcPa4N8
_chemical_formula_sum 'Ba3 Ac3 Pa12 N24'
_cell_length_a 7.1490
_cell_length_b 7.1490
_cell_length_c 18.1777
_cell_angle_alpha 90.00
_cell_angle_beta 90.00
_cell_angle_gamma 120.00
_space_group_name_H-M_alt 'R 3 m'
_space_group_IT_number 160
_space_group_name_Hall 'R 3 -2"'
loop_
_atom_site_label
_atom_site_fract_x
_atom_site_fract_y
_atom_site_fract_z
Ba1 0.0000 0.0000 0.0000
Ac1 0.0000 0.0000 0.3763
Pa1 0.0000 0.0000 0.7625
Pa2 0.0076 0.5038 0.8773
N1 0.0000 0.0000 0.1530
N2 0.0000 0.0000 0.6081
N3 0.0008 0.5004 0.1381
N4 0.1953 0.3905 0.9401
```

No. 8
Ba3Ac2PuN6 | GGA-PBE | optimized geometry

Calculated values
ΔE_f (raw) = -0.80 eV/atom
Density = 8183 kg/m3
Total DFT energy (no corrections) = -175.74 eV/cell
N(E_F) = 9.1 states/eV per cell

Cell and atoms, written as CIF:
```
data_Ba3Ac2PuN6
_chemical_formula_sum 'Ba6 Ac4 Pu2 N12'
_cell_length_a 6.5980
_cell_length_b 11.4418
_cell_length_c 6.7676
_cell_angle_alpha 90.00
_cell_angle_beta 108.47
_cell_angle_gamma 90.00
_space_group_name_H-M_alt 'C 1 2/m 1'
_space_group_IT_number 12
_space_group_name_Hall '-C 2y'
loop_
_atom_site_label
_atom_site_fract_x
_atom_site_fract_y
_atom_site_fract_z
Ba1 0.0000 0.0000 0.0000
Ba2 0.0000 0.3380 0.0000
Ac1 0.0000 0.1658 0.5000
Pu1 0.0000 0.5000 0.5000
N1 0.1991 0.3643 0.6844
N2 0.2234 0.5000 0.2958
```

No. 9
Ba2AcReN4 | GGA-PBE | optimized geometry

Calculated values
ΔE_f (raw) = -0.61 eV/atom
Density = 7741 kg/m3
Total DFT energy (no corrections) = -117.23 eV/cell
N(E_F) = 2.5 states/eV per cell

Cell and atoms, written as CIF:
```
data_Ba2AcReN4
_chemical_formula_sum 'Ba4 Ac2 Re2 N8'
_cell_length_a 6.3451
_cell_length_b 6.3451
_cell_length_c 7.9276
_cell_angle_alpha 90.00
_cell_angle_beta 90.00
_cell_angle_gamma 90.00
_space_group_name_H-M_alt 'I -4'
_space_group_IT_number 82
_space_group_name_Hall 'I -4'
loop_
_atom_site_label
_atom_site_fract_x
_atom_site_fract_y
_atom_site_fract_z
Ba1 0.0000 0.0000 0.0000
Ba2 0.0000 0.5000 0.2500
Ac1 0.0000 0.5000 0.7500
Re1 0.0000 0.0000 0.5000
N1 0.1850 0.2236 0.5722
```

No. 10
Ba2AcRe2N6 | GGA-PBE | optimized geometry

Calculated values
ΔE_f (raw) = -0.62 eV/atom
Density = 7074 kg/m3
Total DFT energy (no corrections) = -268.89 eV/cell
N(E_F) = 1.4 states/eV per cell

Cell and atoms, written as CIF:
```
data_Ba2AcRe2N6
_chemical_formula_sum 'Ba6 Ac3 Re6 N18'
_cell_length_a 6.3520
_cell_length_b 6.3520
_cell_length_c 19.3089
_cell_angle_alpha 90.00
_cell_angle_beta 90.00
_cell_angle_gamma 120.00
_space_group_name_H-M_alt 'R -3 m'
_space_group_IT_number 166
_space_group_name_Hall '-R 3 2"'
loop_
_atom_site_label
_atom_site_fract_x
_atom_site_fract_y
_atom_site_fract_z
Ba1 0.0000 0.0000 0.2094
Ac1 0.0000 0.0000 0.0000
Re1 0.0000 0.0000 0.4238
N1 0.0052 0.5026 0.2420
```

No. 11
BaAc2Re2N6 | GGA-PBE | optimized geometry

Calculated values
ΔE_f (raw) = -0.71 eV/atom
Density = 7716 kg/m3
Total DFT energy (no corrections) = -92.84 eV/cell
N(E_F) = 2.2 states/eV per cell

Cell and atoms, written as CIF:
```
data_BaAc2Re2N6
_chemical_formula_sum 'Ba1 Ac2 Re2 N6'
_cell_length_a 6.2738
_cell_length_b 6.3172
_cell_length_c 6.9978
_cell_angle_alpha 69.91
_cell_angle_beta 68.15
_cell_angle_gamma 63.76
_space_group_name_H-M_alt 'P -1'
_space_group_IT_number 2
_space_group_name_Hall '-P 1'
loop_
_atom_site_label
_atom_site_fract_x
_atom_site_fract_y
_atom_site_fract_z
Ba1 0.0000 0.0000 0.0000
Ac1 0.2616 0.3270 0.2742
Re1 0.4170 0.3819 0.6857
N1 0.1536 0.3327 0.6610
N2 0.3071 0.5738 0.8754
N3 0.3312 0.8919 0.2602
```

No. 12
BaAcReN4 | GGA-PBE | optimized geometry

Calculated values
ΔE_f (raw) = -0.85 eV/atom
Density = 7163 kg/m3
Total DFT energy (no corrections) = -115.45 eV/cell
N(E_F) = 0.0 states/eV per cell

Cell and atoms, written as CIF:
```
data_BaAcReN4
_chemical_formula_sum 'Ba2 Ac2 Re2 N8'
_cell_length_a 6.3815
_cell_length_b 6.0450
_cell_length_c 7.6102
_cell_angle_alpha 90.00
_cell_angle_beta 106.67
_cell_angle_gamma 90.00
_space_group_name_H-M_alt 'P 1 21/m 1'
_space_group_IT_number 11
_space_group_name_Hall '-P 2yb'
loop_
_atom_site_label
_atom_site_fract_x
_atom_site_fract_y
_atom_site_fract_z
Ba1 0.2130 0.2500 0.4246
Ac1 0.2810 0.2500 0.9469
Re1 0.2581 0.7500 0.1851
N1 0.0745 0.7500 0.3325
N2 0.0845 0.7500 0.9486
N3 0.4414 0.5086 0.2205
```